Record 1
Material: Sn3RhSe
Method: DFT, meta-GGA SCAN
State: single point on PBEsol structure

## Properties
total magnetization	0.00	μB per cell
calculated volume	25.6	Å³/atom
formation energy (no corrections)	-140	meV/atom
total energy	-32.463	eV/atom

Cell: 5.037 5.037 5.037 Å, 90.00 90.00 90.00°
Space group Pm-3m (No. 221)
One atom of each set of equivalent atoms:
Sn1 0.000 0.000 0.500 (multiplicity 3)
Rh1 0.000 0.000 0.000 (multiplicity 1)
Se1 0.500 0.500 0.500 (multiplicity 1)



Record 2
Material: BaRu2Pb
Method: DFT, meta-GGA SCAN
State: single point on PBEsol structure

## Properties
total magnetization	0.00	μB per cell
calculated volume	20.7	Å³/atom
formation energy	3.89	eV/f.u.
total energy	-45.274	eV/atom

Cell: 6.540 9.020 3.144 Å, 90.00 116.53 90.00°
Space group C2/m (No. 12)
One atom of each set of equivalent atoms:
Ba1 0.000 0.000 0.000 (multiplicity 2)
Ru1 0.250 0.250 0.500 (multiplicity 4)
Pb1 0.000 0.500 0.000 (multiplicity 2)